<P>
# Na2Ca2Ga (PBE-GGA, optimized geometry)
data_Na2Ca2Ga
_chemical_formula_sum 'Na4 Ca4 Ga2'
_symmetry_space_group_name_H-M 'I 4/m m m'
_symmetry_Int_Tables_number 139
_symmetry_space_group_name_Hall '-I 4 2'
_cell_length_a 4.023
_cell_length_b 4.023
_cell_length_c 20.096
_cell_angle_alpha 90.00
_cell_angle_beta 90.00
_cell_angle_gamma 90.00
loop_
_atom_site_label
_atom_site_type_symbol
_atom_site_fract_x
_atom_site_fract_y
_atom_site_fract_z
_atom_site_occupancy
Na1 Na 0.000 0.500 0.250 1
Ca1 Ca 0.000 0.000 0.085 1
Ga1 Ga 0.000 0.000 0.500 1
# Crystal system   tetragonal

=====

<Q>
# Na2Ca2Ga (PBE-GGA, optimized geometry)
data_Na2Ca2Ga
_chemical_formula_sum 'Na4 Ca4 Ga2'
_symmetry_space_group_name_H-M 'P 4/m b m'
_symmetry_Int_Tables_number 127
_symmetry_space_group_name_Hall '-P 4 2ab'
_cell_length_a 7.800
_cell_length_b 7.800
_cell_length_c 5.217
_cell_angle_alpha 90.00
_cell_angle_beta 90.00
_cell_angle_gamma 90.00
loop_
_atom_site_label
_atom_site_type_symbol
_atom_site_fract_x
_atom_site_fract_y
_atom_site_fract_z
_atom_site_occupancy
Na1 Na 0.134 0.366 0.000 1
Ca1 Ca 0.187 0.687 0.500 1
Ga1 Ga 0.000 0.000 0.000 1
# Crystal system   tetragonal

=====

Which structure is the most stable? The one labeled <P>.